[1]
Entry from Alexandria via LeMat-Bulk: a relaxed structure of Tc2Mo (GGA-PBE).

Output
DFT formation energy = 0.137 eV/atom
VASP energy = -10.38 eV per atom
Symmetry = Pnnm (58)
Offset from the most stable computed form = 28 meV per atom

Cell: 2.735 4.265 7.787 Å, 90.00 90.00 90.00°
Sites, in units of the cell vectors:
Tc 0.682 0.500 0.164
Tc 0.318 0.500 0.836
Mo 0.500 0.500 0.500
Tc 0.182 0.000 0.336
Tc 0.818 0.000 0.664
Mo 0.000 0.000 0.000

***

[2]
Entry from Alexandria via LeMat-Bulk: a relaxed structure of Nd4ScTe5 (GGA-PBE).

Output
VASP energy = -5.45 eV per atom
Uncorrected formation energy = -1.342 eV/atom
Symmetry = I4/mmm (139)

Cell: 4.399 4.399 16.298 Å, 97.76 97.76 90.00°
Sites, in units of the cell vectors:
Nd 0.395 0.395 0.790
Nd 0.189 0.189 0.377
Te 0.500 0.500 0.000
Te 0.910 0.910 0.820
Nd 0.605 0.605 0.210
Sc 0.000 0.000 0.000
Te 0.090 0.090 0.180
Te 0.706 0.706 0.412
Te 0.294 0.294 0.588
Nd 0.811 0.811 0.623

***

[3]
Entry from Alexandria via LeMat-Bulk: a relaxed structure of NdYCdIn (GGA-PBE).

Output
DFT formation energy = -0.429 eV/atom
VASP energy = -4.15 eV per atom
Symmetry = F-43m (216)

Cell: 5.395 5.395 5.395 Å, 60.00 60.00 60.00°
Sites, in units of the cell vectors:
Y 0.750 0.750 0.750
Cd 0.000 0.000 0.000
In 0.500 0.500 0.500
Nd 0.250 0.250 0.250

***

[4]
Entry from Alexandria via LeMat-Bulk: a relaxed structure of Sb3PtC (GGA-PBE).

Output
VASP energy = -4.62 eV per atom
Uncorrected formation energy = 0.906 eV/atom
Symmetry = Pm-3m (221)
Offset from the most stable computed form = 0 meV per atom

Cell: 4.658 4.658 4.658 Å, 90.00 90.00 90.00°
Sites, in units of the cell vectors:
C 0.000 0.000 0.000
Sb 0.500 0.000 0.000
Pt 0.500 0.500 0.500
Sb 0.000 0.000 0.500
Sb 0.000 0.500 0.000

***

[5]
Entry from Alexandria via LeMat-Bulk: a relaxed structure of CdCuH (GGA-PBE).

Output
VASP energy = -2.64 eV per atom
Symmetry = P3m1 (156)
Offset from the most stable computed form = 26 meV per atom

Cell: 2.913 2.913 5.349 Å, 90.00 90.00 120.00°
Sites, in units of the cell vectors:
Cu 0.333 0.667 0.512
H 0.667 0.333 0.480
Cd 0.667 0.333 0.996

***

[6]
Entry from Alexandria via LeMat-Bulk: a relaxed structure of AuN2F (GGA-PBE).

Output
VASP energy = -5.70 eV per atom
Uncorrected formation energy = -0.245 eV/atom
Symmetry = P-1 (2)
Offset from the most stable computed form = 0 meV per atom

Cell: 9.786 4.251 16.016 Å, 43.31 134.41 154.16°
Sites, in units of the cell vectors:
F 0.702 0.506 0.371
N 0.817 0.163 0.866
F 0.298 0.494 0.629
N 0.360 0.035 0.126
Au 0.500 0.000 0.500
Au 0.000 0.500 0.500
N 0.640 0.965 0.874
N 0.183 0.837 0.134

***

[7]
Entry from Alexandria via LeMat-Bulk: a relaxed structure of YSe2Cl (GGA-PBE).

Output
VASP energy = -4.78 eV per atom
Uncorrected formation energy = -0.963 eV/atom
Symmetry = R3m (160)
Offset from the most stable computed form = 439 meV per atom

Cell: 10.372 10.372 10.372 Å, 22.27 22.27 22.27°
Sites, in units of the cell vectors:
Y 0.504 0.504 0.504
Se 0.993 0.993 0.993
Se 0.220 0.220 0.220
Cl 0.784 0.784 0.784

***

[8]
Entry from Alexandria via LeMat-Bulk: a relaxed structure of NdHoTe2Cl (GGA-PBE).

Output
VASP energy = -5.09 eV per atom
Uncorrected formation energy = -1.591 eV/atom
Symmetry = P4/nmm (129)

Cell: 4.341 4.341 15.033 Å, 90.00 90.00 90.00°
Sites, in units of the cell vectors:
Te 0.500 0.000 0.293
Cl 0.000 0.000 0.500
Ho 0.500 0.000 0.083
Te 0.500 0.000 0.878
Nd 0.500 0.000 0.634
Nd 0.000 0.500 0.366
Te 0.000 0.500 0.122
Ho 0.000 0.500 0.917
Te 0.000 0.500 0.707
Cl 0.500 0.500 0.500

***

Number 1: spin magnetization 0.000 μB per formula unit. Number 2: spin magnetization 0.000 μB per formula unit. Number 3: spin magnetization 0.000 μB per formula unit. Number 4: spin magnetization 0.000 μB per formula unit. Number 5: spin magnetization 0.000 μB per formula unit. Number 6: spin magnetization 0.000 μB per formula unit. Number 7: spin magnetization 2.003 μB per formula unit. Number 8: spin magnetization 0.000 μB per formula unit.